{"formula": "NdY2Ir2", "functional": "PBE", "state": "relaxed", "dft_energy_ev_per_atom": -7.74, "total_magnetization_mub_per_fu": 0.0, "volume_a3_per_atom": 25.89, "dos_ef_per_ev_cell": 5.888, "lattice": [[-0.663, 4.208, -1.258], [-5.194, -1.241, -1.413], [0.625, 3.326, 10.800]], "species": ["Nd", "Nd", "Y", "Y", "Ir", "Y", "Ir", "Ir", "Ir", "Y"], "fractional_positions": [[0.750, 0.195, 0.787], [0.250, 0.805, 0.213], [0.250, 0.781, 0.884], [0.750, 0.219, 0.116], [0.250, 0.324, 0.977], [0.250, 0.281, 0.529], [0.750, 0.676, 0.023], [0.750, 0.134, 0.362], [0.250, 0.866, 0.638], [0.750, 0.719, 0.471]]}

***

{"formula": "NdY2Ir9", "functional": "PBE", "state": "relaxed", "dft_energy_ev_per_atom": -8.69, "total_magnetization_mub_per_fu": 0.0, "volume_a3_per_atom": 18.07, "dos_ef_per_ev_cell": 12.653, "lattice": [[5.343, 0.000, 0.000], [2.672, 4.628, 0.000], [2.672, 1.543, 8.767]], "species": ["Ir", "Ir", "Ir", "Ir", "Ir", "Ir", "Ir", "Nd", "Ir", "Y", "Ir", "Y"], "fractional_positions": [[0.667, 0.667, 0.998], [0.500, 0.500, 0.500], [0.083, 0.582, 0.753], [0.582, 0.582, 0.753], [0.582, 0.083, 0.753], [0.418, 0.917, 0.247], [0.333, 0.333, 0.002], [0.000, 0.000, 0.000], [0.917, 0.418, 0.247], [0.860, 0.860, 0.419], [0.418, 0.418, 0.247], [0.140, 0.140, 0.581]]}